[1]
Crystalline CdPRhSe2 at its relaxed geometry. Source: Alexandria via LeMat-Bulk, functional PBE.

The value obtained for the density of states at the Fermi level is 6.47 states/eV/f.u. The final energy comes out at -2.83 eV per atom.

It has space group P4/mmm (No. 123), with a = 5.169 Å, b = 5.169 Å, c = 4.844 Å, α = 90.00°, β = 90.00° and γ = 90.00°. The inequivalent atoms are Cd at (0.000, 0.000, 0.000), P at (0.000, 0.000, 0.500), Rh at (0.500, 0.500, 0.500) and Se at (0.000, 0.500, 0.000).

---

[2]
Crystalline SmCdP2Rh5 at its relaxed geometry. Source: Alexandria via LeMat-Bulk, functional PBE.

The value obtained for the density of states at the Fermi level is 4.66 states/eV/f.u. The final energy comes out at -6.43 eV per atom. As for the formation energy: -11.8 kcal/mol of atoms.

It has space group P4/mmm (No. 123), with a = 4.037 Å, b = 4.037 Å, c = 10.345 Å, α = 90.00°, β = 90.00° and γ = 90.00°. The inequivalent atoms are Sm at (0.000, 0.000, 0.000), Cd at (0.000, 0.000, 0.500), P at (0.500, 0.500, 0.218), Rh at (0.000, 0.500, 0.316) and Rh at (0.500, 0.500, 0.000).